DFT (PBE with a Hubbard U) results for a relaxed structure of CrGeSO.

Properties
* V: 16.097 Å³ per atom
* total energy: -5.967 eV/atom
* distance to the lowest polymorph of the same formula: 0.173 eV/atom

Lattice parameters (Å, degrees): 6.531 6.531 3.071 90.16 90.16 29.45
Element x y z (fractional)
Cr: 0.000 0.000 0.000
Ge: 0.287 0.287 0.497
S: 0.592 0.592 0.501
O: 0.888 0.888 0.499